Entry 1:
Entry from Alexandria: TaTcPb2 after structural relaxation (PBE).

Values from the calculation:
energy above the most stable polymorph in this dataset = 668 meV/atom
crystal system = cubic
E_tot = -6.590 eV/atom
size of the total moment = 0.099 μB/atom
ΔH_f (0 K) = 819 meV per atom

a = 4.853 Å, b = 4.853 Å, c = 4.853 Å
α = 60.00°, β = 60.00°, γ = 60.00°
Sites, in units of the cell vectors:
Ta1 0.000 0.000 0.000
Tc1 0.500 0.500 0.500
Pb1 0.250 0.250 0.250
Pb2 0.750 0.750 0.750

=====

Entry 2:
Entry from Alexandria: TaTcPb4 after structural relaxation (PBE).

Values from the calculation:
crystal system = cubic
E_tot = -4.782 eV/atom
size of the total moment = 0.303 μB/atom
ΔH_f (0 K) = 1393 meV per atom

a = 6.172 Å, b = 6.172 Å, c = 6.172 Å
α = 60.00°, β = 60.00°, γ = 60.00°
Sites, in units of the cell vectors:
Ta1 0.000 0.000 0.000
Tc1 0.750 0.750 0.750
Pb1 0.375 0.375 0.375
Pb2 0.375 0.375 0.875
Pb3 0.375 0.875 0.375
Pb4 0.875 0.375 0.375

=====

Entry 3:
Entry from Alexandria: TaTc3Pb after structural relaxation (PBE).

Values from the calculation:
energy above the most stable polymorph in this dataset = 0 meV/atom
crystal system = cubic
E_tot = -7.794 eV/atom
size of the total moment = 0.579 μB/atom
ΔH_f (0 K) = 1538 meV per atom

a = 4.808 Å, b = 4.808 Å, c = 4.808 Å
α = 90.00°, β = 90.00°, γ = 90.00°
Sites, in units of the cell vectors:
Ta1 0.000 0.000 0.000
Tc1 0.000 0.000 0.500
Tc2 0.000 0.500 0.000
Tc3 0.500 0.000 0.000
Pb1 0.500 0.500 0.500

=====

- Which value of size of the total moment does entry 3 give?
  0.579 μB/atom